No. 1
The following is a DFT calculation (GGA-PBE) of crystalline Pm4NiPBr2 at its relaxed geometry.

Values from the calculation:
SG: P2/m (10)
Formation energy without anion corrections (eV per atom): -1.12

a b c (Å): 4.003 7.355 7.662
angles (deg): 107.04 90.00 90.00
Sites, in units of the cell vectors:
Pm (0.500, 0.217, 0.197)
Pm (0.500, 0.783, 0.803)
Pm (0.000, 0.266, 0.793)
Pm (0.000, 0.734, 0.207)
Ni (0.000, 0.000, 0.000)
P (0.500, 0.500, 0.000)
Br (0.500, 0.000, 0.500)
Br (0.000, 0.500, 0.500)

---

No. 2
The following is a DFT calculation (GGA-PBE) of crystalline Ca3Ce2In4 at its relaxed geometry.

Values from the calculation:
Formation energy from the elements (eV per atom): -0.314
SG: P-3m1 (164)

a b c (Å): 5.450 5.451 10.520
angles (deg): 89.98 90.00 60.01
Sites, in units of the cell vectors:
Ca (0.334, 0.333, 0.422)
Ca (0.000, 0.000, 0.000)
Ca (0.666, 0.667, 0.578)
Ce (0.333, 0.334, 0.799)
Ce (0.667, 0.666, 0.201)
In (0.667, 0.667, 0.892)
In (0.000, 0.999, 0.343)
In (0.000, 0.001, 0.657)
In (0.333, 0.333, 0.108)

---

No. 3
The following is a DFT calculation (GGA-PBE) of crystalline YZrBe2 at its relaxed geometry.

Values from the calculation:
Formation energy from the elements (eV per atom): 0.375
SG: Pmm2 (25)
Relative energy among the computed polymorphs (meV per atom): 374.3

a b c (Å): 3.278 4.169 5.551
angles (deg): 90.00 90.00 90.00
Sites, in units of the cell vectors:
Y (0.000, 0.000, 0.444)
Be (0.000, 0.000, 0.950)
Be (0.500, 0.500, 0.284)
Zr (0.500, 0.500, 0.822)